Entry from Alexandria via LeMat-Bulk: crystalline ZnOs2Rh at its relaxed geometry (PBE).

Summary:
energy of formation from the pure elements = 347 meV per atom

```
data_ZnOs2Rh
_chemical_formula_sum 'Zn4 Os8 Rh4'
_cell_length_a 6.129
_cell_length_b 6.129
_cell_length_c 6.129
_cell_angle_alpha 90.00
_cell_angle_beta 90.00
_cell_angle_gamma 90.00
_space_group_name_H-M_alt 'F -4 3 m'
_space_group_IT_number 216
_space_group_name_Hall 'F -4 2 3'
loop_
_atom_site_label
_atom_site_fract_x
_atom_site_fract_y
_atom_site_fract_z
Zn1 0.000 0.000 0.000
Os1 0.000 0.000 0.500
Os2 0.250 0.250 0.250
Rh1 0.250 0.250 0.750
```



Entry from Alexandria via LeMat-Bulk: crystalline In12Ga3H5 at its relaxed geometry (PBE).

```
data_In12Ga3H5
_chemical_formula_sum 'In96 Ga24 H40'
_cell_length_a 15.092
_cell_length_b 15.092
_cell_length_c 15.092
_cell_angle_alpha 90.00
_cell_angle_beta 90.00
_cell_angle_gamma 90.00
_space_group_name_H-M_alt 'I a -3 d'
_space_group_IT_number 230
_space_group_name_Hall '-I 4bd 2c 3'
loop_
_atom_site_label
_atom_site_fract_x
_atom_site_fract_y
_atom_site_fract_z
In1 0.039 0.056 0.646
Ga1 0.000 0.250 0.125
H1 0.000 0.000 0.000
H2 0.000 0.250 0.375
```



Entry from Alexandria via LeMat-Bulk: crystalline TaReN2F at its relaxed geometry (PBE).

Summary:
energy above the most stable polymorph in this dataset = 0.171 eV/atom
E_form (uncorrected) = 0.56 eV per atom

```
data_TaReN2F
_chemical_formula_sum 'Ta1 Re1 N2 F1'
_cell_length_a 3.922
_cell_length_b 3.922
_cell_length_c 3.979
_cell_angle_alpha 90.00
_cell_angle_beta 90.00
_cell_angle_gamma 90.00
_space_group_name_H-M_alt 'P 4/m m m'
_space_group_IT_number 123
_space_group_name_Hall '-P 4 2'
loop_
_atom_site_label
_atom_site_fract_x
_atom_site_fract_y
_atom_site_fract_z
Ta1 0.000 0.000 0.000
Re1 0.500 0.500 0.500
N1 0.000 0.500 0.500
F1 0.500 0.500 0.000
```



Entry from Alexandria via LeMat-Bulk: crystalline Ba2SbN at its relaxed geometry (PBE).

Summary:
energy above the most stable polymorph in this dataset = 0.007 eV/atom
E_form (uncorrected) = -0.27 eV per atom

```
data_Ba2SbN
_chemical_formula_sum 'Ba8 Sb4 N4'
_cell_length_a 8.019
_cell_length_b 8.019
_cell_length_c 8.635
_cell_angle_alpha 90.00
_cell_angle_beta 90.00
_cell_angle_gamma 90.00
_space_group_name_H-M_alt 'I -4 2 d'
_space_group_IT_number 122
_space_group_name_Hall 'I -4 2bw'
loop_
_atom_site_label
_atom_site_fract_x
_atom_site_fract_y
_atom_site_fract_z
Ba1 0.159 0.250 0.125
Sb1 0.000 0.000 0.500
N1 0.000 0.000 0.000
```



Entry from Alexandria via LeMat-Bulk: crystalline BaMnTe2 at its relaxed geometry (PBE).

Summary:
E_form (uncorrected) = -0.42 eV per atom

```
data_BaMnTe2
_chemical_formula_sum 'Ba3 Mn3 Te6'
_cell_length_a 4.2692
_cell_length_b 4.2692
_cell_length_c 21.3592
_cell_angle_alpha 90.00
_cell_angle_beta 90.00
_cell_angle_gamma 120.00
_space_group_name_H-M_alt 'R -3 m'
_space_group_IT_number 166
_space_group_name_Hall '-R 3 2"'
loop_
_atom_site_label
_atom_site_fract_x
_atom_site_fract_y
_atom_site_fract_z
Ba1 0.0000 0.0000 0.0000
Mn1 0.0000 0.0000 0.5000
Te1 0.0000 0.0000 0.2224
```



Entry from Alexandria via LeMat-Bulk: crystalline ScMnBi2Se at its relaxed geometry (PBE).

Summary:
E_form (uncorrected) = 0.32 eV per atom

```
data_ScMnBi2Se
_chemical_formula_sum 'Sc1 Mn1 Bi2 Se1'
_cell_length_a 5.670
_cell_length_b 5.670
_cell_length_c 5.001
_cell_angle_alpha 90.00
_cell_angle_beta 90.00
_cell_angle_gamma 90.00
_space_group_name_H-M_alt 'P 4/m m m'
_space_group_IT_number 123
_space_group_name_Hall '-P 4 2'
loop_
_atom_site_label
_atom_site_fract_x
_atom_site_fract_y
_atom_site_fract_z
Sc1 0.000 0.000 0.000
Mn1 0.500 0.500 0.500
Bi1 0.000 0.500 0.000
Se1 0.000 0.000 0.500
```



Entry from Alexandria via LeMat-Bulk: crystalline Ti3PtN at its relaxed geometry (PBE).

Summary:
E_form (uncorrected) = -0.26 eV per atom

```
data_Ti3PtN
_chemical_formula_sum 'Ti9 Pt3 N3'
_cell_length_a 7.4365
_cell_length_b 7.4365
_cell_length_c 5.2262
_cell_angle_alpha 90.00
_cell_angle_beta 90.00
_cell_angle_gamma 120.00
_space_group_name_H-M_alt 'R 3 m'
_space_group_IT_number 160
_space_group_name_Hall 'R 3 -2"'
loop_
_atom_site_label
_atom_site_fract_x
_atom_site_fract_y
_atom_site_fract_z
Ti1 0.1975 0.3950 0.0000
Pt1 0.0000 0.0000 0.8574
N1 0.0000 0.0000 0.4772
```



Entry from Alexandria via LeMat-Bulk: crystalline Pr7ZnI12 at its relaxed geometry (PBE).

Summary:
E_form (uncorrected) = -1.22 eV per atom

```
data_Pr7ZnI12
_chemical_formula_sum 'Pr21 Zn3 I36'
_cell_length_a 16.2520
_cell_length_b 16.2520
_cell_length_c 10.8126
_cell_angle_alpha 90.00
_cell_angle_beta 90.00
_cell_angle_gamma 120.00
_space_group_name_H-M_alt 'R -3'
_space_group_IT_number 148
_space_group_name_Hall '-R 3'
loop_
_atom_site_label
_atom_site_fract_x
_atom_site_fract_y
_atom_site_fract_z
Pr1 0.0000 0.0000 0.0000
Pr2 0.0468 0.1650 0.3435
Zn1 0.0000 0.0000 0.5000
I1 0.0228 0.5878 0.1653
I2 0.0523 0.1865 0.8412
```



Entry from Alexandria via LeMat-Bulk: crystalline Sc2PbBr at its relaxed geometry (PBE).

Summary:
energy above the most stable polymorph in this dataset = 0.154 eV/atom
E_form (uncorrected) = -0.45 eV per atom

```
data_Sc2PbBr
_chemical_formula_sum 'Sc8 Pb4 Br4'
_cell_length_a 7.255
_cell_length_b 7.255
_cell_length_c 7.255
_cell_angle_alpha 90.00
_cell_angle_beta 90.00
_cell_angle_gamma 90.00
_space_group_name_H-M_alt 'F m -3 m'
_space_group_IT_number 225
_space_group_name_Hall '-F 4 2 3'
loop_
_atom_site_label
_atom_site_fract_x
_atom_site_fract_y
_atom_site_fract_z
Sc1 0.250 0.250 0.250
Pb1 0.000 0.000 0.000
Br1 0.000 0.000 0.500
```



Entry from Alexandria via LeMat-Bulk: crystalline TbPm4Pr2Sm at its relaxed geometry (PBE).

Summary:
energy of formation from the pure elements = 377 meV per atom

```
data_TbPm4Pr2Sm
_chemical_formula_sum 'Tb4 Pm16 Pr8 Sm4'
_cell_length_a 13.868
_cell_length_b 13.399
_cell_length_c 6.957
_cell_angle_alpha 90.00
_cell_angle_beta 119.88
_cell_angle_gamma 90.00
_space_group_name_H-M_alt 'C 1 2/c 1'
_space_group_IT_number 15
loop_
_space_group_symop_operation_xyz
'x,y,z'
'-x,-y,-z'
'-x,y,-z+1/2'
'x,-y,z+1/2'
'x+1/2,y+1/2,z'
'-x+1/2,-y+1/2,-z'
'-x+1/2,y+1/2,-z+1/2'
'x+1/2,-y+1/2,z+1/2'
loop_
_atom_site_label
_atom_site_fract_x
_atom_site_fract_y
_atom_site_fract_z
Tb1 0.000 0.000 0.000
Pm1 0.012 0.246 0.012
Pm2 0.247 0.001 0.454
Pr1 0.000 0.500 0.000
Pr2 0.250 0.250 0.000
Sm1 0.250 0.250 0.500
```



Entry from Alexandria via LeMat-Bulk: crystalline NaTlPF6 at its relaxed geometry (PBE).

Summary:
E_form (uncorrected) = -2.24 eV per atom

```
data_NaTlPF6
_chemical_formula_sum 'Na1 Tl1 P1 F6'
_cell_length_a 5.477
_cell_length_b 5.837
_cell_length_c 5.962
_cell_angle_alpha 89.42
_cell_angle_beta 88.41
_cell_angle_gamma 63.15
_space_group_name_H-M_alt 'P 1'
_space_group_IT_number 1
loop_
_space_group_symop_operation_xyz
'x,y,z'
loop_
_atom_site_label
_atom_site_fract_x
_atom_site_fract_y
_atom_site_fract_z
Na1 0.000 0.000 0.000
Tl1 0.669 0.696 0.551
P1 0.329 0.351 0.036
F1 0.020 0.728 0.749
F2 0.075 0.324 0.195
F3 0.286 0.612 0.187
F4 0.363 0.085 0.883
F5 0.556 0.160 0.212
F6 0.593 0.359 0.881
```



Entry from Alexandria via LeMat-Bulk: crystalline Pr3P2S at its relaxed geometry (PBE).

Summary:
E_form (uncorrected) = -1.75 eV per atom

```
data_Pr3P2S
_chemical_formula_sum 'Pr6 P4 S2'
_cell_length_a 4.178
_cell_length_b 5.907
_cell_length_c 12.511
_cell_angle_alpha 90.00
_cell_angle_beta 90.00
_cell_angle_gamma 90.00
_space_group_name_H-M_alt 'I m m m'
_space_group_IT_number 71
_space_group_name_Hall '-I 2 2'
loop_
_atom_site_label
_atom_site_fract_x
_atom_site_fract_y
_atom_site_fract_z
Pr1 0.000 0.000 0.000
Pr2 0.000 0.000 0.330
P1 0.000 0.500 0.334
S1 0.000 0.500 0.000
```



| no. | total DFT energy (no corrections) (eV per atom) |
| --- | --- |
| 1 | -7.424 |
| 2 | -2.668 |
| 3 | -8.008 |
| 4 | -4.342 |
| 5 | -4.764 |
| 6 | -5.026 |
| 7 | -7.873 |
| 8 | -3.887 |
| 9 | -4.964 |
| 10 | -4.362 |
| 11 | -4.494 |
| 12 | -6.628 |